Entry 1:
First-principles (PBE-GGA) data for a relaxed SbPb3C crystal, as listed in the Alexandria database.

Output
The density of states at the Fermi level is 0.9280 states/eV/atom. The calculation puts the raw formation energy at 9.234 eV per formula unit. The distance to the lowest polymorph of the same formula is 1045 meV/atom. Its total magnetization is 1.6 Bohr magnetons per cell.

Geometry as POSCAR:
```
SbPb3C
1.0
5.965 0.000 0.000
0.000 5.965 0.000
0.000 0.000 5.965
Sb Pb C
1 3 1
Direct
0.000 0.000 0.000
0.000 0.000 0.500
0.000 0.500 0.000
0.500 0.000 0.000
0.500 0.500 0.500
```

---

Entry 2:
First-principles (PBE-GGA) data for a relaxed K3MgZr3Se8 crystal, as listed in the Alexandria database.

Output
The density of states at the Fermi level is 0.3192 states/eV/atom. The calculation puts the raw formation energy at -20.175 eV per formula unit. Its total magnetization is 0.0 Bohr magnetons per cell.

Geometry as POSCAR:
```
K3MgZr3Se8
1.0
6.796 -3.919 0.000
6.796 3.919 0.000
-4.535 0.000 7.843
K Mg Zr Se
3 1 3 8
Direct
0.000 0.000 0.000
0.000 0.500 0.000
0.500 0.000 0.000
0.000 0.000 0.500
0.000 0.500 0.500
0.500 0.000 0.500
0.500 0.500 0.500
0.235 0.235 0.696
0.235 0.726 0.696
0.266 0.266 0.298
0.274 0.765 0.304
0.726 0.235 0.696
0.734 0.734 0.702
0.765 0.274 0.304
0.765 0.765 0.304
```

---

Entry 3:
First-principles (PBE-GGA) data for a relaxed CsZr2GaAs crystal, as listed in the Alexandria database.

Output
Its formation energy is 0.878 eV per atom. The density of states at the Fermi level is 1.0384 states/eV/atom. Its total magnetization is 0.0 Bohr magnetons per cell.

Geometry as POSCAR:
```
CsZr2GaAs
1.0
5.178 0.000 0.000
0.000 5.178 0.000
0.000 0.000 6.057
Cs Zr Ga As
1 2 1 1
Direct
0.000 0.000 0.000
0.000 0.500 0.500
0.500 0.000 0.500
0.000 0.000 0.500
0.500 0.500 0.000
```

---

Entry 4:
First-principles (PBE-GGA) data for a relaxed Nd4P2Cl3 crystal, as listed in the Alexandria database.

Output
The density of states at the Fermi level is 0.3931 states/eV/atom. The calculation puts the raw formation energy at -16.162 eV per formula unit. Its total magnetization is 0.0 Bohr magnetons per cell.

Geometry as POSCAR:
```
Nd4P2Cl3
1.0
3.568 -2.060 0.000
3.568 2.060 0.000
-0.019 0.000 17.174
Nd P Cl
4 2 3
Direct
0.001 0.001 0.297
0.334 0.334 0.116
0.666 0.666 0.884
0.999 0.999 0.703
0.333 0.333 0.796
0.667 0.667 0.204
0.000 0.000 0.000
0.334 0.334 0.395
0.666 0.666 0.605
```

---

Entry 5:
First-principles (PBE-GGA) data for a relaxed CdMoAs2 crystal, as listed in the Alexandria database.

Output
Its formation energy is -0.031 eV per atom. The density of states at the Fermi level is 0.4220 states/eV/atom. Its total magnetization is 0.0 Bohr magnetons per cell.

Geometry as POSCAR:
```
CdMoAs2
1.0
3.243 0.000 0.000
-1.622 2.809 0.000
0.000 0.000 26.230
Cd Mo As
3 3 6
Direct
0.000 0.000 0.000
0.333 0.667 0.667
0.667 0.333 0.333
0.000 0.000 0.500
0.333 0.667 0.167
0.667 0.333 0.833
0.000 0.000 0.234
0.000 0.000 0.766
0.333 0.667 0.433
0.333 0.667 0.901
0.667 0.333 0.099
0.667 0.333 0.567
```

---

Entry 6:
First-principles (PBE-GGA) data for a relaxed CaZnN2 crystal, as listed in the Alexandria database.

Output
The density of states at the Fermi level is 0.4638 states/eV/atom. The calculation puts the raw formation energy at 1.046 eV per formula unit. Its total magnetization is 0.0 Bohr magnetons per cell.

Geometry as POSCAR:
```
CaZnN2
1.0
4.442 0.000 0.000
0.000 4.442 0.000
0.000 0.000 11.929
Ca Zn N
4 4 8
Direct
0.000 0.000 0.000
0.000 0.500 0.250
0.500 0.000 0.750
0.500 0.500 0.500
0.000 0.000 0.500
0.000 0.500 0.750
0.500 0.000 0.250
0.500 0.500 0.000
0.139 0.250 0.625
0.250 0.639 0.875
0.250 0.861 0.375
0.361 0.250 0.125
0.639 0.750 0.125
0.750 0.139 0.375
0.750 0.361 0.875
0.861 0.750 0.625
```

---

Entry 7:
First-principles (PBE-GGA) data for a relaxed BaRhSe2Br crystal, as listed in the Alexandria database.

Output
The density of states at the Fermi level is 1.7629 states/eV/atom. The calculation puts the raw formation energy at 2.852 eV per formula unit. The distance to the lowest polymorph of the same formula is 1448 meV/atom. Its total magnetization is 4.0 Bohr magnetons per cell.

Geometry as POSCAR:
```
BaRhSe2Br
1.0
6.256 0.000 0.000
0.000 6.256 0.000
0.000 0.000 6.179
Ba Rh Se Br
1 1 2 1
Direct
0.000 0.000 0.000
0.500 0.500 0.500
0.000 0.500 0.000
0.500 0.000 0.000
0.000 0.000 0.500
```

---

Entry 8:
First-principles (PBE-GGA) data for a relaxed AsI3Br crystal, as listed in the Alexandria database.

Output
The density of states at the Fermi level is 0.5109 states/eV/atom. The calculation puts the raw formation energy at -0.363 eV per formula unit. The distance to the lowest polymorph of the same formula is 0 meV/atom. Its total magnetization is 0.0 Bohr magnetons per cell.

Geometry as POSCAR:
```
AsI3Br
1.0
3.815 0.000 0.000
0.000 10.385 0.000
-1.877 0.000 10.175
As I Br
2 6 2
Direct
0.116 0.250 0.236
0.884 0.750 0.764
0.063 0.750 0.128
0.400 0.544 0.799
0.400 0.956 0.799
0.600 0.044 0.201
0.600 0.456 0.201
0.937 0.250 0.872
0.231 0.250 0.468
0.769 0.750 0.532
```

---

Entry 9:
First-principles (PBE-GGA) data for a relaxed Ba2YCu crystal, as listed in the Alexandria database.

Output
Its formation energy is 0.057 eV per atom. The density of states at the Fermi level is 1.2563 states/eV/atom. The distance to the lowest polymorph of the same formula is 0 meV/atom. Its total magnetization is 0.0 Bohr magnetons per cell.

Geometry as POSCAR:
```
Ba2YCu
1.0
3.825 0.000 0.000
0.000 3.825 0.000
0.000 0.000 10.303
Ba Y Cu
2 1 1
Direct
0.000 0.000 0.000
0.500 0.500 0.363
0.500 0.500 0.700
0.000 0.000 0.578
```

---

Entry 10:
First-principles (PBE-GGA) data for a relaxed SrSc2TlAs crystal, as listed in the Alexandria database.

Output
Its formation energy is -0.411 eV per atom. The density of states at the Fermi level is 0.7323 states/eV/atom. Its total magnetization is 0.0 Bohr magnetons per cell.

Geometry as POSCAR:
```
SrSc2TlAs
1.0
5.133 0.000 0.000
0.000 5.133 0.000
0.000 0.000 5.765
Sr Sc Tl As
1 2 1 1
Direct
0.000 0.000 0.000
0.000 0.500 0.500
0.500 0.000 0.500
0.500 0.500 0.000
0.000 0.000 0.500
```

---

Entry 11:
First-principles (PBE-GGA) data for a relaxed Mn4FeCo3 crystal, as listed in the Alexandria database.

Output
Its formation energy is 0.050 eV per atom. The density of states at the Fermi level is 0.7292 states/eV/atom. Its total magnetization is 17.9 Bohr magnetons per cell.

Geometry as POSCAR:
```
Mn4FeCo3
1.0
16.319 0.000 0.000
0.000 2.751 0.000
-0.555 0.000 4.067
Mn Fe Co
8 2 6
Direct
0.129 0.000 0.065
0.247 0.000 0.733
0.253 0.500 0.267
0.371 0.500 0.935
0.629 0.500 0.065
0.747 0.500 0.733
0.753 0.000 0.267
0.871 0.000 0.935
0.000 0.000 0.500
0.500 0.500 0.500
0.000 0.500 0.000
0.122 0.500 0.559
0.378 0.000 0.441
0.500 0.000 0.000
0.622 0.000 0.559
0.878 0.500 0.441
```